CaFeBi2O6 | GGA+U | relaxed

Values from the calculation:
The symmetry is R3, No. 146. The crystal system is trigonal. The calculation puts the spin magnetization at 3.96 μB/f.u. The calculation puts the volume at 144.0 Å³ per cell. As for the energy: -6.0799 eV/atom.

Structure (POSCAR):
```
CaFeBi2O6
1.0
2.869 1.657 5.047
-2.869 1.657 5.047
0.000 -3.313 5.047
Ca Fe Bi O
1 1 2 6
direct
0.000 0.000 0.000
0.489 0.489 0.489
0.278 0.278 0.278
0.786 0.786 0.786
0.120 0.671 0.394
0.214 0.614 0.829
0.394 0.120 0.671
0.614 0.829 0.214
0.671 0.394 0.120
0.829 0.214 0.614
```

---

CaFeBi2O | GGA+U | relaxed

Values from the calculation:
The symmetry is P4/mmm, No. 123. The crystal system is tetragonal. The calculation puts the spin magnetization at 4.04 μB/f.u. The calculation puts the volume at 150.2 Å³ per cell. As for the energy: -3.8346 eV/atom.

Structure (POSCAR):
```
CaFeBi2O
1.0
6.113 0.000 0.000
0.000 6.113 0.000
0.000 0.000 4.019
Ca Fe Bi O
1 1 2 1
direct
0.000 0.000 0.000
0.500 0.500 0.500
0.000 0.500 0.000
0.500 0.000 0.000
0.000 0.000 0.500
```